The following is a DFT calculation (PBE-GGA) of TaFeSe2 after structural relaxation.

Properties
Energy relative to the elements, uncorrected, eV per atom: -0.424
D(E_F), states/eV/cell: 2.43
Distance to the lowest polymorph of the same formula, meV/atom: 102

Lattice parameters (Å, degrees): 3.763 3.717 6.724 90.00 90.50 90.00
Sites, in units of the cell vectors:
Ta1 0.000 0.000 0.000
Fe1 0.500 0.500 0.003
Se1 0.004 0.500 0.259
Se2 0.496 0.000 0.744